(w)
Sr2AuBr | PBE | relaxed

Summary:
Its spin magnetization is 0.0 Bohr magnetons per cell.

Structure (CIF):
```
data_Sr2AuBr
_cell_length_a 5.7276
_cell_length_b 5.7276
_cell_length_c 5.7276
_cell_angle_alpha 127.55
_cell_angle_beta 114.65
_cell_angle_gamma 88.48
_space_group_name_H-M_alt 'P 1'
_space_group_IT_number 1
_space_group_name_Hall 'P 1'
loop_
_atom_site_label
_atom_site_type_symbol
_atom_site_fract_x
_atom_site_fract_y
_atom_site_fract_z
Sr1 Sr 0.0019 0.0019 0.0000
Sr2 Sr 0.4981 0.4981 0.0000
Au1 Au 0.7500 0.2500 0.5000
Br1 Br 0.2500 0.7500 0.5000
```


(x)
Sr2AuBr | PBE | relaxed

Summary:
Its spin magnetization is 0.0 Bohr magnetons per cell.

Structure (CIF):
```
data_Sr2AuBr
_cell_length_a 3.9140
_cell_length_b 4.0328
_cell_length_c 8.6353
_cell_angle_alpha 88.52
_cell_angle_beta 90.00
_cell_angle_gamma 90.00
_space_group_name_H-M_alt 'P 1'
_space_group_IT_number 1
_space_group_name_Hall 'P 1'
loop_
_atom_site_label
_atom_site_type_symbol
_atom_site_fract_x
_atom_site_fract_y
_atom_site_fract_z
Sr1 Sr 0.0000 0.7606 0.0407
Sr2 Sr 0.0000 0.7394 0.4593
Au1 Au 0.5000 0.2500 0.2500
Br1 Br 0.5000 0.7500 0.7500
```


(y)
Sr2AuBr | PBE | relaxed

Summary:
Its spin magnetization is 0.0 Bohr magnetons per cell.

Structure (CIF):
```
data_Sr2AuBr
_cell_length_a 5.6925
_cell_length_b 5.6925
_cell_length_c 5.6925
_cell_angle_alpha 60.00
_cell_angle_beta 60.00
_cell_angle_gamma 60.00
_space_group_name_H-M_alt 'P 1'
_space_group_IT_number 1
_space_group_name_Hall 'P 1'
loop_
_atom_site_label
_atom_site_type_symbol
_atom_site_fract_x
_atom_site_fract_y
_atom_site_fract_z
Sr1 Sr 0.0000 0.0000 0.0000
Sr2 Sr 0.2500 0.2500 0.2500
Au1 Au 0.5000 0.5000 0.5000
Br1 Br 0.7500 0.7500 0.7500
```


It is (x) that is most stable; the runner-up trails by 154 meV/atom.


(w)
Sr2AuBr | PBE | relaxed

Summary:
Its spin magnetization is 0.0 Bohr magnetons per cell.

Structure (CIF):
```
data_Sr2AuBr
_cell_length_a 6.6202
_cell_length_b 6.6202
_cell_length_c 5.0757
_cell_angle_alpha 89.97
_cell_angle_beta 89.97
_cell_angle_gamma 35.58
_space_group_name_H-M_alt 'P 1'
_space_group_IT_number 1
_space_group_name_Hall 'P 1'
loop_
_atom_site_label
_atom_site_type_symbol
_atom_site_fract_x
_atom_site_fract_y
_atom_site_fract_z
Sr1 Sr 0.9952 0.9952 0.8753
Sr2 Sr 0.2489 0.2489 0.3747
Au1 Au 0.5128 0.5128 0.3753
Br1 Br 0.7432 0.7432 0.8747
```


(x)
Sr2AuBr | PBE | relaxed

Summary:
Its spin magnetization is 0.0 Bohr magnetons per cell.

Structure (CIF):
```
data_Sr2AuBr
_cell_length_a 10.2493
_cell_length_b 10.2493
_cell_length_c 10.2493
_cell_angle_alpha 25.22
_cell_angle_beta 25.22
_cell_angle_gamma 25.22
_space_group_name_H-M_alt 'P 1'
_space_group_IT_number 1
_space_group_name_Hall 'P 1'
loop_
_atom_site_label
_atom_site_type_symbol
_atom_site_fract_x
_atom_site_fract_y
_atom_site_fract_z
Sr1 Sr 0.0190 0.0190 0.0190
Sr2 Sr 0.2311 0.2311 0.2311
Au1 Au 0.5085 0.5085 0.5085
Br1 Br 0.7414 0.7414 0.7414
```


It is (w) that is most stable; the runner-up trails by 188 meV/atom.


(w)
SrAu2Br | PBE | relaxed

Summary:
Its spin magnetization is 0.0 Bohr magnetons per cell.

Structure (CIF):
```
data_SrAu2Br
_cell_length_a 3.9052
_cell_length_b 3.9015
_cell_length_c 7.6330
_cell_angle_alpha 90.00
_cell_angle_beta 90.00
_cell_angle_gamma 90.00
_space_group_name_H-M_alt 'P 1'
_space_group_IT_number 1
_space_group_name_Hall 'P 1'
loop_
_atom_site_label
_atom_site_type_symbol
_atom_site_fract_x
_atom_site_fract_y
_atom_site_fract_z
Sr1 Sr 0.5000 0.5000 0.7487
Au1 Au 0.0000 0.0000 0.0696
Au2 Au 0.5000 0.5000 0.1219
Br1 Br 0.0000 0.0000 0.5597
```


(x)
SrAu2Br | PBE | relaxed

Summary:
Its spin magnetization is 0.0 Bohr magnetons per cell.

Structure (CIF):
```
data_SrAu2Br
_cell_length_a 9.1260
_cell_length_b 9.1260
_cell_length_c 7.0427
_cell_angle_alpha 49.62
_cell_angle_beta 49.62
_cell_angle_gamma 90.00
_space_group_name_H-M_alt 'P 1'
_space_group_IT_number 1
_space_group_name_Hall 'P 1'
loop_
_atom_site_label
_atom_site_type_symbol
_atom_site_fract_x
_atom_site_fract_y
_atom_site_fract_z
Sr1 Sr 0.0000 0.0000 0.0000
Sr2 Sr 0.7500 0.2500 0.5000
Au1 Au 0.6220 0.1250 0.2500
Au2 Au 0.1280 0.6250 0.2500
Au3 Au 0.3750 0.3780 0.7500
Au4 Au 0.8750 0.8720 0.7500
Br1 Br 0.5000 0.5000 0.0000
Br2 Br 0.2500 0.7500 0.5000
```


(y)
SrAu2Br | PBE | relaxed

Summary:
Its spin magnetization is 0.0 Bohr magnetons per cell.

Structure (CIF):
```
data_SrAu2Br
_cell_length_a 4.6655
_cell_length_b 4.6655
_cell_length_c 7.3263
_cell_angle_alpha 72.95
_cell_angle_beta 72.95
_cell_angle_gamma 59.94
_space_group_name_H-M_alt 'P 1'
_space_group_IT_number 1
_space_group_name_Hall 'P 1'
loop_
_atom_site_label
_atom_site_type_symbol
_atom_site_fract_x
_atom_site_fract_y
_atom_site_fract_z
Sr1 Sr 0.2648 0.2648 0.2122
Au1 Au 0.0193 0.0193 0.9264
Au2 Au 0.6892 0.6892 0.9166
Br1 Br 0.5267 0.5267 0.4448
```


(z)
SrAu2Br | PBE | relaxed

Summary:
Its spin magnetization is 0.0 Bohr magnetons per cell.

Structure (CIF):
```
data_SrAu2Br
_cell_length_a 6.8178
_cell_length_b 4.1555
_cell_length_c 4.1502
_cell_angle_alpha 89.57
_cell_angle_beta 72.42
_cell_angle_gamma 107.61
_space_group_name_H-M_alt 'P 1'
_space_group_IT_number 1
_space_group_name_Hall 'P 1'
loop_
_atom_site_label
_atom_site_type_symbol
_atom_site_fract_x
_atom_site_fract_y
_atom_site_fract_z
Sr1 Sr 0.5000 0.0000 0.5000
Au1 Au 0.0000 0.0000 0.0000
Au2 Au 0.0000 0.5000 0.5000
Br1 Br 0.5000 0.5000 0.0000
```


It is (y) that is most stable; the runner-up trails by 89 meV/atom.


(w)
SrAu2Br | PBE | relaxed

Summary:
Its spin magnetization is 0.0 Bohr magnetons per cell.

Structure (CIF):
```
data_SrAu2Br
_cell_length_a 4.1779
_cell_length_b 4.1779
_cell_length_c 5.8563
_cell_angle_alpha 90.00
_cell_angle_beta 90.00
_cell_angle_gamma 90.00
_space_group_name_H-M_alt 'P 1'
_space_group_IT_number 1
_space_group_name_Hall 'P 1'
loop_
_atom_site_label
_atom_site_type_symbol
_atom_site_fract_x
_atom_site_fract_y
_atom_site_fract_z
Sr1 Sr 0.0000 0.5000 0.5000
Au1 Au 0.0000 0.0000 0.0000
Au2 Au 0.5000 0.5000 0.0000
Br1 Br 0.5000 0.0000 0.5000
```


(x)
SrAu2Br | PBE | relaxed

Summary:
Its spin magnetization is 0.0 Bohr magnetons per cell.

Structure (CIF):
```
data_SrAu2Br
_cell_length_a 5.2922
_cell_length_b 5.2922
_cell_length_c 5.2922
_cell_angle_alpha 60.00
_cell_angle_beta 60.00
_cell_angle_gamma 60.00
_space_group_name_H-M_alt 'P 1'
_space_group_IT_number 1
_space_group_name_Hall 'P 1'
loop_
_atom_site_label
_atom_site_type_symbol
_atom_site_fract_x
_atom_site_fract_y
_atom_site_fract_z
Sr1 Sr 0.5000 0.5000 0.5000
Au1 Au 0.2500 0.2500 0.2500
Au2 Au 0.7500 0.7500 0.7500
Br1 Br 0.0000 0.0000 0.0000
```


(y)
SrAu2Br | PBE | relaxed

Summary:
Its spin magnetization is 0.0 Bohr magnetons per cell.

Structure (CIF):
```
data_SrAu2Br
_cell_length_a 3.9716
_cell_length_b 3.9699
_cell_length_c 7.3703
_cell_angle_alpha 89.47
_cell_angle_beta 90.00
_cell_angle_gamma 90.00
_space_group_name_H-M_alt 'P 1'
_space_group_IT_number 1
_space_group_name_Hall 'P 1'
loop_
_atom_site_label
_atom_site_type_symbol
_atom_site_fract_x
_atom_site_fract_y
_atom_site_fract_z
Sr1 Sr 0.5000 0.8770 0.7556
Au1 Au 0.0000 0.8714 0.0888
Au2 Au 0.5000 0.3714 0.0889
Br1 Br 0.0000 0.3803 0.5667
```


(z)
SrAu2Br | PBE | relaxed

Summary:
Its spin magnetization is 0.0 Bohr magnetons per cell.

Structure (CIF):
```
data_SrAu2Br
_cell_length_a 5.2384
_cell_length_b 5.2385
_cell_length_c 5.2379
_cell_angle_alpha 120.00
_cell_angle_beta 120.00
_cell_angle_gamma 90.01
_space_group_name_H-M_alt 'P 1'
_space_group_IT_number 1
_space_group_name_Hall 'P 1'
loop_
_atom_site_label
_atom_site_type_symbol
_atom_site_fract_x
_atom_site_fract_y
_atom_site_fract_z
Sr1 Sr 0.7500 0.2500 0.5000
Au1 Au 0.0000 0.0000 0.0000
Au2 Au 0.2500 0.7500 0.5000
Br1 Br 0.5000 0.5000 0.0000
```


It is (y) that is most stable; the runner-up trails by 143 meV/atom.


(w)
Sr2Au2Br | PBE | relaxed

Summary:
Its spin magnetization is 0.0 Bohr magnetons per cell.

Structure (CIF):
```
data_Sr2Au2Br
_cell_length_a 8.6225
_cell_length_b 8.6225
_cell_length_c 4.1755
_cell_angle_alpha 90.00
_cell_angle_beta 90.00
_cell_angle_gamma 90.00
_space_group_name_H-M_alt 'P 1'
_space_group_IT_number 1
_space_group_name_Hall 'P 1'
loop_
_atom_site_label
_atom_site_type_symbol
_atom_site_fract_x
_atom_site_fract_y
_atom_site_fract_z
Sr1 Sr 0.3194 0.8194 0.0000
Sr2 Sr 0.8194 0.6806 0.0000
Sr3 Sr 0.6806 0.1806 0.0000
Sr4 Sr 0.1806 0.3194 0.0000
Au1 Au 0.1158 0.6158 0.5000
Au2 Au 0.6158 0.8842 0.5000
Au3 Au 0.8842 0.3842 0.5000
Au4 Au 0.3842 0.1158 0.5000
Br1 Br 0.0000 0.0000 0.0000
Br2 Br 0.5000 0.5000 0.0000
```


(x)
Sr2Au2Br | PBE | relaxed

Summary:
Its spin magnetization is 0.0 Bohr magnetons per cell.

Structure (CIF):
```
data_Sr2Au2Br
_cell_length_a 8.7141
_cell_length_b 8.7141
_cell_length_c 3.9332
_cell_angle_alpha 90.00
_cell_angle_beta 90.00
_cell_angle_gamma 90.00
_space_group_name_H-M_alt 'P 1'
_space_group_IT_number 1
_space_group_name_Hall 'P 1'
loop_
_atom_site_label
_atom_site_type_symbol
_atom_site_fract_x
_atom_site_fract_y
_atom_site_fract_z
Sr1 Sr 0.1806 0.6806 0.5000
Sr2 Sr 0.6806 0.8194 0.5000
Sr3 Sr 0.8194 0.3194 0.5000
Sr4 Sr 0.3194 0.1806 0.5000
Au1 Au 0.3854 0.8854 0.0000
Au2 Au 0.8854 0.6146 0.0000
Au3 Au 0.6146 0.1146 0.0000
Au4 Au 0.1146 0.3854 0.0000
Br1 Br 0.0000 0.0000 0.0000
Br2 Br 0.5000 0.5000 0.0000
```


It is (w) that is most stable; the runner-up trails by 80 meV/atom.


(w)
TaAuBr2 | PBE | relaxed

Summary:
Its spin magnetization is 2.2 Bohr magnetons per cell.

Structure (CIF):
```
data_TaAuBr2
_cell_length_a 4.2250
_cell_length_b 4.4780
_cell_length_c 4.4780
_cell_angle_alpha 90.00
_cell_angle_beta 90.00
_cell_angle_gamma 90.00
_space_group_name_H-M_alt 'P 1'
_space_group_IT_number 1
_space_group_name_Hall 'P 1'
loop_
_atom_site_label
_atom_site_type_symbol
_atom_site_fract_x
_atom_site_fract_y
_atom_site_fract_z
Au1 Au 0.5000 0.0000 0.5000
Br1 Br 0.0000 0.0000 0.0000
Br2 Br 0.0000 0.5000 0.5000
Ta1 Ta 0.5000 0.5000 0.0000
```


(x)
TaAuBr2 | PBE | relaxed

Summary:
Its spin magnetization is 0.0 Bohr magnetons per cell.

Structure (CIF):
```
data_TaAuBr2
_cell_length_a 5.1560
_cell_length_b 5.1560
_cell_length_c 5.1560
_cell_angle_alpha 129.62
_cell_angle_beta 129.62
_cell_angle_gamma 74.01
_space_group_name_H-M_alt 'P 1'
_space_group_IT_number 1
_space_group_name_Hall 'P 1'
loop_
_atom_site_label
_atom_site_type_symbol
_atom_site_fract_x
_atom_site_fract_y
_atom_site_fract_z
Au1 Au 0.7500 0.2500 0.5000
Br1 Br 0.0000 0.0000 0.0000
Br2 Br 0.5000 0.5000 0.0000
Ta1 Ta 0.2500 0.7500 0.5000
```


It is (x) that is most stable; the runner-up trails by 223 meV/atom.


(w)
TaAuBr2 | PBE | relaxed

Summary:
Its spin magnetization is 0.0 Bohr magnetons per cell.

Structure (CIF):
```
data_TaAuBr2
_cell_length_a 3.1137
_cell_length_b 3.1137
_cell_length_c 9.6065
_cell_angle_alpha 90.00
_cell_angle_beta 90.00
_cell_angle_gamma 90.00
_space_group_name_H-M_alt 'P 1'
_space_group_IT_number 1
_space_group_name_Hall 'P 1'
loop_
_atom_site_label
_atom_site_type_symbol
_atom_site_fract_x
_atom_site_fract_y
_atom_site_fract_z
Au1 Au 0.5000 0.5000 0.7500
Br1 Br 0.0000 0.0000 0.0770
Br2 Br 0.0000 0.0000 0.4230
Ta1 Ta 0.5000 0.5000 0.2500
```


(x)
TaAuBr2 | PBE | relaxed

Summary:
Its spin magnetization is 0.0 Bohr magnetons per cell.

Structure (CIF):
```
data_TaAuBr2
_cell_length_a 3.2222
_cell_length_b 4.6126
_cell_length_c 8.1056
_cell_angle_alpha 73.53
_cell_angle_beta 90.00
_cell_angle_gamma 90.00
_space_group_name_H-M_alt 'P 1'
_space_group_IT_number 1
_space_group_name_Hall 'P 1'
loop_
_atom_site_label
_atom_site_type_symbol
_atom_site_fract_x
_atom_site_fract_y
_atom_site_fract_z
Au1 Au 0.5000 0.7370 0.6511
Br1 Br 0.0000 0.1043 0.9176
Br2 Br 0.5000 0.3972 0.3295
Ta1 Ta 0.0000 0.2615 0.6018
```


(y)
TaAuBr2 | PBE | relaxed

Summary:
Its spin magnetization is 0.3 Bohr magnetons per cell.

Structure (CIF):
```
data_TaAuBr2
_cell_length_a 3.2339
_cell_length_b 3.2340
_cell_length_c 8.6379
_cell_angle_alpha 90.00
_cell_angle_beta 90.00
_cell_angle_gamma 89.99
_space_group_name_H-M_alt 'P 1'
_space_group_IT_number 1
_space_group_name_Hall 'P 1'
loop_
_atom_site_label
_atom_site_type_symbol
_atom_site_fract_x
_atom_site_fract_y
_atom_site_fract_z
Au1 Au 0.5000 0.5000 0.7208
Br1 Br 0.0000 0.0000 0.9334
Br2 Br 0.5000 0.5000 0.3258
Ta1 Ta 0.0000 0.0000 0.5199
```


It is (x) that is most stable; the runner-up trails by 253 meV/atom.


(w)
TaAu3Br | PBE | relaxed

Summary:
Its spin magnetization is 0.0 Bohr magnetons per cell.

Structure (CIF):
```
data_TaAu3Br
_cell_length_a 5.1883
_cell_length_b 5.1883
_cell_length_c 5.1883
_cell_angle_alpha 90.00
_cell_angle_beta 90.00
_cell_angle_gamma 90.00
_space_group_name_H-M_alt 'P 1'
_space_group_IT_number 1
_space_group_name_Hall 'P 1'
loop_
_atom_site_label
_atom_site_type_symbol
_atom_site_fract_x
_atom_site_fract_y
_atom_site_fract_z
Au1 Au 0.0000 0.5000 0.0000
Au2 Au 0.0000 0.0000 0.5000
Au3 Au 0.5000 0.0000 0.0000
Br1 Br 0.5000 0.5000 0.5000
Ta1 Ta 0.0000 0.0000 0.0000
```


(x)
TaAu3Br | PBE | relaxed

Summary:
Its spin magnetization is 2.9 Bohr magnetons per cell.

Structure (CIF):
```
data_TaAu3Br
_cell_length_a 5.0026
_cell_length_b 5.0026
_cell_length_c 5.0026
_cell_angle_alpha 90.00
_cell_angle_beta 90.00
_cell_angle_gamma 90.00
_space_group_name_H-M_alt 'P 1'
_space_group_IT_number 1
_space_group_name_Hall 'P 1'
loop_
_atom_site_label
_atom_site_type_symbol
_atom_site_fract_x
_atom_site_fract_y
_atom_site_fract_z
Au1 Au 0.0000 0.5000 0.0000
Au2 Au 0.0000 0.0000 0.5000
Au3 Au 0.5000 0.0000 0.0000
Br1 Br 0.0000 0.0000 0.0000
Ta1 Ta 0.5000 0.5000 0.5000
```


It is (w) that is most stable; the runner-up trails by 704 meV/atom.